Computed, not measured: a relaxed Zn2InGa2 crystal at the PBEsol level of DFT.

Output
magnetic moment	0.0000	μB/atom
DOS(E_F)	1.38	states/eV/cell
formation energy from the elements	0.19	eV per formula unit

a = 4.011 Å, b = 4.011 Å, c = 6.358 Å
α = 108.39°, β = 108.39°, γ = 90.00°
Fractional coordinates of all 5 atoms:
Ga 0.609 0.609 0.217
Ga 0.391 0.391 0.783
In 0.000 0.000 0.000
Zn 0.750 0.250 0.500
Zn 0.250 0.750 0.500